1.
CdNi4Ru: optimized geometry, GGA-PBE.

## Properties
Volume (Å³/f.u.): 78
Density (g cm⁻³): 9.599
Energy of formation from the pure elements (eV/atom): 0.161

Cell lengths 4.7865, 4.7865, 4.7865 Å; angles 60.00, 60.00, 60.00 degrees
Each line ends with the local moment (μB).
Positions (direct):
Ni: 0.3754 0.8739 0.3754  0.60
Ni: 0.8739 0.3754 0.3754  0.60
Ni: 0.3754 0.3754 0.3754  0.60
Cd: 0.0000 0.0000 0.0000  -0.02
Ru: 0.7500 0.7500 0.7500  1.48
Ni: 0.3754 0.3754 0.8739  0.60

---

2.
Al2Fe3Re: optimized geometry, GGA-PBE.

## Properties
Volume (Å³/f.u.): 72
Density (g cm⁻³): 9.397
Energy of formation from the pure elements (eV/atom): -0.227

Cell lengths 2.8206, 2.8206, 9.0558 Å; angles 90.00, 90.00, 90.00 degrees
Each line ends with the local moment (μB).
Positions (direct):
Fe: 0.0000 0.0000 0.3243  -0.07
Re: 0.5000 0.5000 0.5000  0.01
Fe: 0.0000 0.0000 0.0000  0.49
Al: 0.5000 0.5000 0.1582  -0.01
Al: 0.5000 0.5000 0.8418  -0.01
Fe: 0.0000 0.0000 0.6757  -0.07

---

3.
In3Pb: optimized geometry, GGA-PBE.

## Properties
Volume (Å³/f.u.): 217
Density (g cm⁻³): 4.221
Energy of formation from the pure elements (eV/atom): 0.630

Cell lengths 6.0097, 6.0097, 6.0097 Å; angles 90.00, 90.00, 90.00 degrees
Positions (direct):
In: 0.0000 0.0000 0.5000
In: 0.5000 0.0000 0.0000
In: 0.0000 0.5000 0.0000
Pb: 0.0000 0.0000 0.0000

---

4.
TaSiRu2: optimized geometry, GGA-PBE.

## Properties
Volume (Å³/f.u.): 63
Formation energy (no corrections) (eV/f.u.): 1.07
Density (g cm⁻³): 10.841

Cell lengths 5.7659, 5.7659, 5.7659 Å; angles 53.41, 151.83, 135.61 degrees
Positions (direct):
Si: 0.0000 0.0000 0.0000
Ru: 0.0000 0.7849 0.7849
Ta: 0.0000 0.5000 0.5000
Ru: 0.0000 0.2151 0.2151

---

5.
Pr9Nd2Mg: optimized geometry, GGA-PBE.

## Properties
Volume (Å³/f.u.): 420
Density (g cm⁻³): 6.254
Energy of formation from the pure elements (eV/atom): 0.008

Cell lengths 5.1792, 5.1792, 15.6487 Å; angles 90.00, 90.00, 90.00 degrees
Positions (direct):
Pr: 0.0000 0.5000 0.8374
Pr: 0.5000 0.5000 0.3298
Pr: 0.5000 0.5000 0.0000
Nd: 0.0000 0.0000 0.6704
Pr: 0.5000 0.0000 0.8374
Pr: 0.0000 0.5000 0.5000
Pr: 0.5000 0.0000 0.5000
Pr: 0.5000 0.0000 0.1626
Nd: 0.0000 0.0000 0.3296
Mg: 0.0000 0.0000 0.0000
Pr: 0.5000 0.5000 0.6702
Pr: 0.0000 0.5000 0.1626

---

6.
Fe2Co7Ni: optimized geometry, GGA-PBE.

## Properties
Volume (Å³/f.u.): 111
Density (g cm⁻³): 8.729
Energy of formation from the pure elements (eV/atom): 0.021

Cell lengths 2.4906, 7.5331, 6.6315 Å; angles 108.44, 79.05, 109.31 degrees
Each line ends with the local moment (μB).
Positions (direct):
Co: 0.2043 0.8013 0.1961  1.63
Co: 0.6967 0.2982 0.2007  1.66
Co: 0.7957 0.1987 0.8039  1.63
Co: 0.1051 0.9057 0.6020  1.64
Fe: 0.4067 0.6050 0.3972  2.55
Co: 0.5000 0.5000 0.0000  1.65
Co: 0.8949 0.0943 0.3980  1.64
Co: 0.3033 0.7018 0.7993  1.66
Fe: 0.5933 0.3950 0.6028  2.55
Ni: 0.0000 0.0000 0.0000  0.72